First-principles (PBE-GGA) data for crystalline NaNiAgTeSe2 at its relaxed geometry, as listed in OQMD.

Calculated values
Total moment = 0.00 μB per formula unit
Crystal system = orthorhombic
Calculated total energy = -3.554 eV per atom

Lattice parameters (Å, degrees): 3.548 14.541 10.586 90.00 90.00 90.00
Space group Cmcm (No. 63)
Unique sites:
Na 0.000 0.240 0.250 (multiplicity 4)
Ni 0.000 0.000 0.000 (multiplicity 4)
Ag 0.000 0.426 0.750 (multiplicity 4)
Te 0.000 0.080 0.750 (multiplicity 4)
Se 0.000 0.386 0.515 (multiplicity 8)